Here is a relaxed structure of CuTc2Pd from OQMD via LeMat-Bulk. Energies are from PBE.

Computed properties:
Raw total energy: -7.1204 eV/atom
Energy of formation from the pure elements: 0.283 eV per atom

Cell lengths 4.3216, 4.3216, 4.3216 Å; angles 60.00, 60.00, 60.00 degrees
Element x y z (fractional)
Cu: 0.2500 0.2500 0.2500
Pd: 0.5000 0.5000 0.5000
Tc: 0.0000 0.0000 0.0000
Tc: 0.7500 0.7500 0.7500



Here is a relaxed structure of CuTcPd from OQMD via LeMat-Bulk. Energies are from PBE.

Computed properties:
Raw total energy: -5.7201 eV/atom
Energy of formation from the pure elements: 0.698 eV per atom
Relative energy among the computed polymorphs: 0.00 kcal/mol of atoms

Cell lengths 4.1116, 4.1116, 4.1116 Å; angles 60.00, 60.00, 60.00 degrees
Element x y z (fractional)
Cu: 0.2500 0.2500 0.2500
Pd: 0.0000 0.0000 0.0000
Tc: 0.7500 0.7500 0.7500



Here is a relaxed structure of ZnCuTcPd from OQMD via LeMat-Bulk. Energies are from PBE.

Computed properties:
Raw total energy: -4.9675 eV/atom
Energy of formation from the pure elements: 0.162 eV per atom
Relative energy among the computed polymorphs: 0.00 kcal/mol of atoms

Cell lengths 4.3257, 4.3257, 4.3257 Å; angles 60.00, 60.00, 60.00 degrees
Element x y z (fractional)
Cu: 0.7500 0.7500 0.7500
Pd: 0.2500 0.2500 0.2500
Tc: 0.5000 0.5000 0.5000
Zn: 0.0000 0.0000 0.0000



Here is a relaxed structure of CuTe2Pd from OQMD via LeMat-Bulk. Energies are from PBE.

Computed properties:
Raw total energy: -3.3984 eV/atom

Cell lengths 4.9278, 4.9278, 4.9278 Å; angles 60.00, 60.00, 60.00 degrees
Element x y z (fractional)
Cu: 0.2500 0.2500 0.2500
Pd: 0.5000 0.5000 0.5000
Te: 0.0000 0.0000 0.0000
Te: 0.7500 0.7500 0.7500



> Look up the raw total energy of the second one.

-5.7201 eV/atom